(1)
First-principles (PBE) data for a relaxed Ce3Al4Si6 crystal, as listed in Alexandria.

Cell: 4.163 4.163 17.745 Å, 90.00 90.00 120.00°
Last column: magnetic moment on the atom in μB.
Atoms (fractional coordinates):
Ce1 0.000 0.000 0.891  0.41
Ce2 0.000 0.000 0.109  0.41
Ce3 0.000 0.000 0.500  0.73
Al1 0.667 0.333 0.253  0.00
Al2 0.333 0.667 0.747  0.00
Al3 0.667 0.333 0.640  0.00
Al4 0.333 0.667 0.360  0.00
Si1 0.667 0.333 0.003  -0.01
Si2 0.333 0.667 0.215  0.00
Si3 0.667 0.333 0.785  0.00
Si4 0.333 0.667 0.602  0.00
Si5 0.667 0.333 0.398  0.00
Si6 0.333 0.667 0.997  -0.01

Space-group type   No. 164
M_tot   1.95 μB/cell
Mass density   4.34 Mg/m³
Formation energy from raw total energies   -435 meV/atom

(2)
First-principles (PBE) data for a relaxed PaInTe2Se crystal, as listed in Alexandria.

Cell: 4.436 4.436 14.383 Å, 90.00 90.00 90.00°
Last column: magnetic moment on the atom in μB.
Atoms (fractional coordinates):
Pa1 0.500 0.000 0.634  0.55
Pa2 0.000 0.500 0.366  0.55
In1 0.500 0.000 0.090  0.00
In2 0.000 0.500 0.910  0.00
Te1 0.000 0.500 0.701  -0.02
Te2 0.000 0.500 0.133  -0.01
Te3 0.500 0.000 0.867  -0.01
Te4 0.500 0.000 0.299  -0.02
Se1 0.000 0.000 0.500  -0.03
Se2 0.500 0.500 0.500  -0.03

Space-group type   No. 129
M_tot   1.10 μB/cell
Mass density   7.98 Mg/m³
Formation energy from raw total energies   -720 meV/atom

(3)
First-principles (PBE) data for a relaxed AcSi2BiAu5 crystal, as listed in Alexandria.

Cell: 4.674 4.674 10.035 Å, 90.00 90.00 90.00°
Atoms (fractional coordinates):
Ac1 0.000 0.000 0.500
Si1 0.500 0.500 0.264
Si2 0.500 0.500 0.736
Bi1 0.000 0.000 0.000
Au1 0.000 0.500 0.192
Au2 0.500 0.000 0.192
Au3 0.000 0.500 0.808
Au4 0.500 0.000 0.808
Au5 0.500 0.500 0.500

Space-group type   No. 123
M_tot   0.00 μB/cell
Mass density   11.19 Mg/m³
Formation energy from raw total energies   -258 meV/atom

(4)
First-principles (PBE) data for a relaxed Co2SiSbP crystal, as listed in Alexandria.

Cell: 4.132 5.440 4.132 Å, 90.00 90.00 90.00°
Last column: magnetic moment on the atom in μB.
Atoms (fractional coordinates):
Sb1 0.000 0.500 0.000  0.04
Si1 0.500 0.500 0.500  -0.01
Co1 0.000 0.000 0.500  0.85
Co2 0.500 0.000 0.000  1.08
P1 0.000 0.000 0.000  -0.01

Space-group type   No. 123
M_tot   1.87 μB/cell
Mass density   5.34 Mg/m³
Formation energy from raw total energies   660 meV/atom

(5)
First-principles (PBE) data for a relaxed Ba2HfSb2 crystal, as listed in Alexandria.

Cell: 8.136 8.136 5.208 Å, 90.00 90.00 90.00°
Atoms (fractional coordinates):
Sb1 0.338 0.838 0.000
Sb2 0.838 0.662 0.000
Sb3 0.662 0.162 0.000
Sb4 0.162 0.338 0.000
Hf1 0.000 0.000 0.000
Hf2 0.500 0.500 0.000
Ba1 0.153 0.653 0.500
Ba2 0.653 0.847 0.500
Ba3 0.847 0.347 0.500
Ba4 0.347 0.153 0.500

Space-group type   No. 127
M_tot   0.00 μB/cell
Mass density   6.71 Mg/m³
Formation energy from raw total energies   -532 meV/atom

(6)
First-principles (PBE) data for a relaxed SrZn2Si crystal, as listed in Alexandria.

Cell: 4.899 4.899 9.064 Å, 74.32 74.32 90.00°
Atoms (fractional coordinates):
Sr1 0.000 0.000 0.000
Sr2 0.750 0.250 0.500
Zn1 0.375 0.125 0.250
Zn2 0.375 0.625 0.250
Zn3 0.375 0.625 0.750
Zn4 0.875 0.625 0.750
Si1 0.500 0.500 0.000
Si2 0.250 0.750 0.500

Space-group type   No. 141
M_tot   0.00 μB/cell
Mass density   4.07 Mg/m³
Formation energy from raw total energies   -107 meV/atom

(7)
First-principles (PBE) data for a relaxed KCaPt2W crystal, as listed in Alexandria.

Cell: 4.967 5.460 4.967 Å, 90.00 90.00 90.00°
Atoms (fractional coordinates):
K1 0.500 0.500 0.500
Ca1 0.000 0.500 0.000
W1 0.000 0.000 0.000
Pt1 0.000 0.000 0.500
Pt2 0.500 0.000 0.000

Space-group type   No. 123
M_tot   0.00 μB/cell
Mass density   8.05 Mg/m³
Formation energy   0.485 eV/atom

(8)
First-principles (PBE) data for a relaxed Pu2BPd crystal, as listed in Alexandria.

Cell: 3.121 3.121 7.378 Å, 90.00 90.00 90.00°
Last column: magnetic moment on the atom in μB.
Atoms (fractional coordinates):
B1 0.500 0.500 0.000  -0.16
Pd1 0.500 0.500 0.500  0.03
Pu1 0.000 0.000 0.800  4.98
Pu2 0.000 0.000 0.200  4.98

Space-group type   No. 123
M_tot   10.04 μB/cell
Mass density   13.99 Mg/m³
Formation energy   -0.093 eV/atom

(9)
First-principles (PBE) data for a relaxed Al3VCr crystal, as listed in Alexandria.

Cell: 4.556 4.556 4.556 Å, 90.00 90.00 90.00°
Last column: magnetic moment on the atom in μB.
Atoms (fractional coordinates):
Cr1 0.000 0.000 0.000  -0.82
Al1 0.000 0.500 0.000  -0.02
Al2 0.000 0.000 0.500  -0.02
Al3 0.500 0.000 0.000  -0.02
V1 0.500 0.500 0.500  2.70

Space-group type   No. 221
Energy above the most stable polymorph in this dataset   0.000 eV per atom
M_tot   2.20 μB/cell
Mass density   3.23 Mg/m³
Formation energy   0.685 eV/atom

(10)
First-principles (PBE) data for a relaxed AcHo2Zn3 crystal, as listed in Alexandria.

Cell: 3.674 3.674 10.990 Å, 90.00 90.00 90.00°
Atoms (fractional coordinates):
Ac1 0.500 0.500 0.500
Ho1 0.500 0.500 0.843
Ho2 0.500 0.500 0.157
Zn1 0.000 0.000 0.000
Zn2 0.000 0.000 0.699
Zn3 0.000 0.000 0.301

Space-group type   No. 123
M_tot   0.00 μB/cell
Mass density   8.43 Mg/m³
Formation energy   -0.285 eV/atom

(11)
First-principles (PBE) data for a relaxed TeMoPN2 crystal, as listed in Alexandria.

Cell: 3.914 3.914 5.786 Å, 90.00 90.00 90.00°
Last column: magnetic moment on the atom in μB.
Atoms (fractional coordinates):
P1 0.500 0.500 0.500  0.38
Mo1 0.000 0.000 0.000  0.04
Te1 0.000 0.000 0.500  0.00
N1 0.000 0.500 0.000  0.06
N2 0.500 0.000 0.000  0.06

Space-group type   No. 123
Energy above the most stable polymorph in this dataset   0.000 eV per atom
M_tot   1.04 μB/cell
Mass density   5.29 Mg/m³
Formation energy from raw total energies   740 meV/atom

(12)
First-principles (PBE) data for a relaxed LiAcTmPt2 crystal, as listed in Alexandria.

Cell: 4.239 4.239 7.128 Å, 107.30 107.30 90.00°
Atoms (fractional coordinates):
Li1 0.250 0.750 0.500
Ac1 0.000 0.000 0.000
Tm1 0.750 0.250 0.500
Pt1 0.609 0.609 0.218
Pt2 0.391 0.391 0.782

Space-group type   No. 119
M_tot   0.00 μB/cell
Mass density   11.33 Mg/m³
Formation energy   -0.965 eV/atom

(13)
First-principles (PBE) data for a relaxed Tb3Sm2Tm3 crystal, as listed in Alexandria.

Cell: 3.644 9.146 16.771 Å, 90.00 90.00 113.46°
Atoms (fractional coordinates):
Tb1 0.789 0.289 0.980
Tb2 0.211 0.711 0.480
Tb3 0.789 0.289 0.520
Tb4 0.211 0.711 0.020
Tb5 0.258 0.759 0.250
Tb6 0.742 0.241 0.750
Sm1 0.556 0.555 0.645
Sm2 0.444 0.445 0.145
Sm3 0.556 0.555 0.855
Sm4 0.444 0.445 0.355
Tm1 0.013 0.013 0.102
Tm2 0.987 0.987 0.602
Tm3 0.013 0.013 0.398
Tm4 0.987 0.987 0.898
Tm5 0.664 0.164 0.250
Tm6 0.336 0.836 0.750

Space-group type   No. 51
Energy above the most stable polymorph in this dataset   0.015 eV per atom
M_tot   0.00 μB/cell
Mass density   8.32 Mg/m³
Formation energy   0.037 eV/atom

(14)
First-principles (PBE) data for a relaxed TaAgSe4 crystal, as listed in Alexandria.

Cell: 6.514 7.567 8.631 Å, 127.20 111.35 90.98°
Atoms (fractional coordinates):
Ta1 0.747 0.000 0.000
Ta2 0.253 0.000 0.000
Ag1 0.347 0.373 0.696
Ag2 0.653 0.627 0.304
Se1 0.075 0.355 0.142
Se2 0.128 0.005 0.265
Se3 0.326 0.686 0.653
Se4 0.674 0.314 0.347
Se5 0.925 0.645 0.858
Se6 0.454 0.201 0.897
Se7 0.546 0.799 0.103
Se8 0.872 0.995 0.735

Space-group type   No. 2
Energy above the most stable polymorph in this dataset   0.000 eV per atom
M_tot   0.00 μB/cell
Mass density   6.72 Mg/m³
Formation energy from raw total energies   -373 meV/atom

(15)
First-principles (PBE) data for a relaxed Tb2Pr9Sc crystal, as listed in Alexandria.

Cell: 5.159 5.159 15.500 Å, 90.00 90.00 90.00°
Atoms (fractional coordinates):
Tb1 0.000 0.000 0.331
Tb2 0.000 0.000 0.669
Pr1 0.500 0.500 0.000
Pr2 0.500 0.500 0.331
Pr3 0.500 0.500 0.669
Pr4 0.500 0.000 0.162
Pr5 0.500 0.000 0.500
Pr6 0.500 0.000 0.838
Pr7 0.000 0.500 0.162
Pr8 0.000 0.500 0.500
Pr9 0.000 0.500 0.838
Sc1 0.000 0.000 0.000

Space-group type   No. 123
M_tot   0.00 μB/cell
Mass density   6.57 Mg/m³
Formation energy   0.024 eV/atom

(16)
First-principles (PBE) data for a relaxed Pm6SmY3Er2 crystal, as listed in Alexandria.

Cell: 6.255 6.255 11.875 Å, 95.02 95.02 119.99°
Atoms (fractional coordinates):
Pm1 0.917 0.583 0.751
Pm2 0.750 0.750 0.249
Pm3 0.083 0.417 0.249
Pm4 0.583 0.917 0.751
Pm5 0.250 0.250 0.751
Pm6 0.417 0.083 0.249
Sm1 0.000 0.000 0.000
Y1 0.167 0.833 0.500
Y2 0.833 0.167 0.500
Y3 0.500 0.500 0.500
Er1 0.333 0.667 0.000
Er2 0.667 0.333 0.000

Space-group type   No. 12
M_tot   0.00 μB/cell
Mass density   6.80 Mg/m³
Formation energy   0.012 eV/atom

(17)
First-principles (PBE) data for a relaxed IrSeS2Cl crystal, as listed in Alexandria.

Cell: 4.651 4.651 4.727 Å, 90.00 90.00 90.00°
Atoms (fractional coordinates):
S1 0.000 0.500 0.000
S2 0.500 0.000 0.000
Ir1 0.000 0.000 0.000
Se1 0.500 0.500 0.500
Cl1 0.000 0.000 0.500

Space-group type   No. 123
Energy above the most stable polymorph in this dataset   0.000 eV per atom
M_tot   0.00 μB/cell
Mass density   6.02 Mg/m³
Formation energy from raw total energies   535 meV/atom

(18)
First-principles (PBE) data for a relaxed CoNiHg crystal, as listed in Alexandria.

Cell: 4.230 4.230 2.788 Å, 90.00 90.00 120.00°
Last column: magnetic moment on the atom in μB.
Atoms (fractional coordinates):
Co1 0.000 0.000 0.833  1.62
Hg1 0.333 0.667 0.333  -0.03
Ni1 0.667 0.333 0.833  0.53

Space-group type   No. 187
Energy above the most stable polymorph in this dataset   0.093 eV per atom
M_tot   2.05 μB/cell
Mass density   12.23 Mg/m³
Formation energy   0.415 eV/atom

(19)
First-principles (PBE) data for a relaxed CrMo2Rh crystal, as listed in Alexandria.

Cell: 4.472 4.472 2.921 Å, 90.00 90.00 90.00°
Atoms (fractional coordinates):
Cr1 0.000 0.500 0.500
Mo1 0.000 0.000 0.000
Mo2 0.500 0.500 0.000
Rh1 0.500 0.000 0.500

Space-group type   No. 123
Energy above the most stable polymorph in this dataset   0.143 eV per atom
M_tot   0.00 μB/cell
Mass density   9.86 Mg/m³
Formation energy   0.220 eV/atom

(20)
First-principles (PBE) data for a relaxed Ac3In9Hg2 crystal, as listed in Alexandria.

Cell: 4.878 9.520 9.520 Å, 73.66 75.15 75.15°
Atoms (fractional coordinates):
Ac1 0.000 0.000 0.000
Ac2 0.680 0.320 0.320
Ac3 0.320 0.680 0.680
In1 0.000 0.500 0.500
In2 0.659 0.968 0.714
In3 0.341 0.032 0.286
In4 0.659 0.714 0.968
In5 0.341 0.286 0.032
In6 0.856 0.869 0.419
In7 0.144 0.131 0.581
In8 0.856 0.419 0.869
In9 0.144 0.581 0.131
Hg1 0.500 0.299 0.701
Hg2 0.500 0.701 0.299

Space-group type   No. 71
M_tot   0.00 μB/cell
Mass density   8.74 Mg/m³
Formation energy   -0.350 eV/atom

(21)
First-principles (PBE) data for a relaxed BaPrCd3 crystal, as listed in Alexandria.

Cell: 3.895 5.166 15.705 Å, 90.00 97.12 90.00°
Atoms (fractional coordinates):
Ba1 0.924 0.750 0.848
Ba2 0.076 0.250 0.152
Pr1 0.213 0.750 0.425
Pr2 0.787 0.250 0.575
Cd1 0.626 0.750 0.251
Cd2 0.374 0.250 0.749
Cd3 0.525 0.750 0.051
Cd4 0.475 0.250 0.949
Cd5 0.680 0.250 0.359
Cd6 0.320 0.750 0.641

Space-group type   No. 63
M_tot   0.00 μB/cell
Mass density   6.52 Mg/m³
Formation energy   -0.290 eV/atom

(22)
First-principles (PBE) data for a relaxed PuPaAgRh crystal, as listed in Alexandria.

Cell: 4.986 4.986 4.986 Å, 60.00 60.00 60.00°
Last column: magnetic moment on the atom in μB.
Atoms (fractional coordinates):
Pa1 0.000 0.000 0.000  0.71
Rh1 0.250 0.250 0.250  -0.23
Ag1 0.750 0.750 0.750  0.02
Pu1 0.500 0.500 0.500  5.28

Space-group type   No. 216
Energy above the most stable polymorph in this dataset   0.260 eV per atom
M_tot   6.17 μB/cell
Mass density   12.99 Mg/m³
Formation energy   -0.089 eV/atom

(23)
First-principles (PBE) data for a relaxed CsRb2Cu2Br7 crystal, as listed in Alexandria.

Cell: 5.278 5.278 14.158 Å, 79.27 79.27 89.98°
Atoms (fractional coordinates):
Cs1 0.000 0.000 0.000
Rb1 0.819 0.819 0.362
Rb2 0.181 0.181 0.638
Cu1 0.595 0.595 0.807
Cu2 0.405 0.405 0.193
Br1 0.500 0.500 0.000
Br2 0.311 0.311 0.380
Br3 0.689 0.689 0.620
Br4 0.906 0.406 0.190
Br5 0.406 0.906 0.190
Br6 0.594 0.094 0.810
Br7 0.094 0.594 0.810

Space-group type   No. 12
M_tot   0.00 μB/cell
Mass density   4.32 Mg/m³
Formation energy from raw total energies   -1014 meV/atom

(24)
First-principles (PBE) data for a relaxed CuAg2Sn crystal, as listed in Alexandria.

Cell: 4.278 4.100 4.100 Å, 90.00 90.00 90.00°
Atoms (fractional coordinates):
Cu1 0.500 0.500 0.500
Sn1 0.500 0.000 0.000
Ag1 0.000 0.000 0.500
Ag2 0.000 0.500 0.000

Space-group type   No. 123
M_tot   0.00 μB/cell
Mass density   9.19 Mg/m³
Formation energy   0.074 eV/atom

(25)
First-principles (PBE) data for a relaxed MoRhCl2 crystal, as listed in Alexandria.

Cell: 4.403 4.403 4.403 Å, 60.00 60.00 60.00°
Atoms (fractional coordinates):
Mo1 0.000 0.000 0.000
Rh1 0.500 0.500 0.500
Cl1 0.250 0.250 0.250
Cl2 0.750 0.750 0.750

Space-group type   No. 225
Energy above the most stable polymorph in this dataset   0.928 eV per atom
M_tot   0.00 μB/cell
Mass density   7.42 Mg/m³
Formation energy from raw total energies   679 meV/atom